1.
# YMgCd2, relaxed, DFT GGA-PBE
# uncorrected energy	-21.72	eV/cell
data_YMgCd2
_symmetry_space_group_name_H-M 'P 1'
_symmetry_Int_Tables_number 1
_symmetry_space_group_name_Hall 'P 1'
_cell_length_a 6.813
_cell_length_b 6.861
_cell_length_c 4.084
_cell_angle_alpha 90.00
_cell_angle_beta 90.00
_cell_angle_gamma 90.00
loop_
_atom_site_label
_atom_site_fract_x
_atom_site_fract_y
_atom_site_fract_z
Y1 0.250 0.250 0.000
Y2 0.750 0.750 0.000
Mg1 0.250 0.750 0.001
Mg2 0.750 0.250 0.999
Cd1 0.000 0.000 0.500
Cd2 0.000 0.500 0.500
Cd3 0.500 0.000 0.500
Cd4 0.500 0.500 0.500



2.
# Er2Ga3Ge2, relaxed, DFT GGA-PBE
# uncorrected energy	-62.33	eV/cell
data_Er2Ga3Ge2
_symmetry_space_group_name_H-M 'P 1'
_symmetry_Int_Tables_number 1
_symmetry_space_group_name_Hall 'P 1'
_cell_length_a 10.300
_cell_length_b 4.055
_cell_length_c 6.756
_cell_angle_alpha 90.00
_cell_angle_beta 99.96
_cell_angle_gamma 90.00
loop_
_atom_site_label
_atom_site_fract_x
_atom_site_fract_y
_atom_site_fract_z
Er1 0.114 0.000 0.307
Er2 0.386 0.500 0.693
Er3 0.614 0.500 0.307
Er4 0.886 0.000 0.693
Ga1 0.000 0.500 0.000
Ga2 0.199 0.000 0.872
Ga3 0.301 0.500 0.128
Ga4 0.500 0.000 0.000
Ga5 0.699 0.500 0.872
Ga6 0.801 0.000 0.128
Ge1 0.102 0.500 0.630
Ge2 0.398 0.000 0.370
Ge3 0.602 0.000 0.630
Ge4 0.898 0.500 0.370



3.
# Nb4CdSiN2, relaxed, DFT GGA-PBE
# uncorrected energy	-68.00	eV/cell
data_Nb4CdSiN2
_symmetry_space_group_name_H-M 'P 1'
_symmetry_Int_Tables_number 1
_symmetry_space_group_name_Hall 'P 1'
_cell_length_a 3.200
_cell_length_b 3.200
_cell_length_c 13.346
_cell_angle_alpha 90.00
_cell_angle_beta 90.00
_cell_angle_gamma 120.00
loop_
_atom_site_label
_atom_site_fract_x
_atom_site_fract_y
_atom_site_fract_z
Nb1 0.000 0.000 0.142
Nb2 0.000 0.000 0.858
Nb3 0.667 0.333 0.317
Nb4 0.667 0.333 0.683
Cd1 0.000 0.000 0.500
Si1 0.667 0.333 0.000
N1 0.333 0.667 0.234
N2 0.333 0.667 0.766



4.
# LuHg2B, relaxed, DFT GGA-PBE
# uncorrected energy	-40.17	eV/cell
data_LuHg2B
_symmetry_space_group_name_H-M 'P 1'
_symmetry_Int_Tables_number 1
_symmetry_space_group_name_Hall 'P 1'
_cell_length_a 6.773
_cell_length_b 6.773
_cell_length_c 6.773
_cell_angle_alpha 90.00
_cell_angle_beta 90.00
_cell_angle_gamma 90.00
loop_
_atom_site_label
_atom_site_fract_x
_atom_site_fract_y
_atom_site_fract_z
Lu1 0.000 0.000 0.000
Lu2 0.000 0.500 0.500
Lu3 0.500 0.000 0.500
Lu4 0.500 0.500 0.000
Hg1 0.000 0.000 0.500
Hg2 0.000 0.500 0.000
Hg3 0.250 0.250 0.250
Hg4 0.250 0.750 0.750
Hg5 0.500 0.000 0.000
Hg6 0.500 0.500 0.500
Hg7 0.750 0.250 0.750
Hg8 0.750 0.750 0.250
B1 0.250 0.250 0.750
B2 0.250 0.750 0.250
B3 0.750 0.250 0.250
B4 0.750 0.750 0.750



5.
# LuPt2Au, relaxed, DFT GGA-PBE
# DFT formation energy	-0.129	eV per atom
data_LuPt2Au
_symmetry_space_group_name_H-M 'P 1'
_symmetry_Int_Tables_number 1
_symmetry_space_group_name_Hall 'P 1'
_cell_length_a 7.373
_cell_length_b 7.373
_cell_length_c 7.373
_cell_angle_alpha 90.00
_cell_angle_beta 90.00
_cell_angle_gamma 90.00
loop_
_atom_site_label
_atom_site_fract_x
_atom_site_fract_y
_atom_site_fract_z
Lu1 0.000 0.000 0.000
Lu2 0.000 0.500 0.500
Lu3 0.500 0.000 0.500
Lu4 0.500 0.500 0.000
Pt1 0.000 0.000 0.500
Pt2 0.000 0.500 0.000
Pt3 0.250 0.250 0.250
Pt4 0.250 0.750 0.750
Pt5 0.500 0.000 0.000
Pt6 0.500 0.500 0.500
Pt7 0.750 0.250 0.750
Pt8 0.750 0.750 0.250
Au1 0.250 0.250 0.750
Au2 0.250 0.750 0.250
Au3 0.750 0.250 0.250
Au4 0.750 0.750 0.750



6.
# TlAgSnSe3, relaxed, DFT GGA-PBE
# distance to the lowest polymorph of the same formula	0	meV per atom
data_TlAgSnSe3
_symmetry_space_group_name_H-M 'P 1'
_symmetry_Int_Tables_number 1
_symmetry_space_group_name_Hall 'P 1'
_cell_length_a 8.072
_cell_length_b 4.071
_cell_length_c 10.171
_cell_angle_alpha 90.00
_cell_angle_beta 105.25
_cell_angle_gamma 90.00
loop_
_atom_site_label
_atom_site_fract_x
_atom_site_fract_y
_atom_site_fract_z
Tl1 0.236 0.250 0.176
Tl2 0.764 0.750 0.824
Ag1 0.456 0.250 0.901
Ag2 0.544 0.750 0.099
Sn1 0.181 0.750 0.643
Sn2 0.819 0.250 0.357
Se1 0.066 0.750 0.366
Se2 0.223 0.750 0.919
Se3 0.408 0.250 0.633
Se4 0.592 0.750 0.367
Se5 0.777 0.250 0.081
Se6 0.934 0.250 0.634



7.
# Pr2Y2CI2Br2Cl, relaxed, DFT GGA-PBE
# distance to the lowest polymorph of the same formula	0	meV per atom
data_Pr2Y2CI2Br2Cl
_symmetry_space_group_name_H-M 'P 1'
_symmetry_Int_Tables_number 1
_symmetry_space_group_name_Hall 'P 1'
_cell_length_a 9.717
_cell_length_b 9.717
_cell_length_c 8.250
_cell_angle_alpha 102.03
_cell_angle_beta 102.03
_cell_angle_gamma 23.50
loop_
_atom_site_label
_atom_site_fract_x
_atom_site_fract_y
_atom_site_fract_z
Pr1 0.000 0.000 0.214
Pr2 0.000 0.000 0.786
Y1 0.370 0.370 0.931
Y2 0.630 0.630 0.069
C1 0.500 0.500 0.000
I1 0.173 0.173 0.818
I2 0.827 0.827 0.182
Br1 0.162 0.162 0.328
Br2 0.838 0.838 0.672
Cl1 0.500 0.500 0.500



8.
# KCuGeS3, relaxed, DFT GGA-PBE
# distance to the lowest polymorph of the same formula	0	meV per atom
data_KCuGeS3
_symmetry_space_group_name_H-M 'P 1'
_symmetry_Int_Tables_number 1
_symmetry_space_group_name_Hall 'P 1'
_cell_length_a 8.483
_cell_length_b 3.741
_cell_length_c 8.894
_cell_angle_alpha 90.00
_cell_angle_beta 111.05
_cell_angle_gamma 90.00
loop_
_atom_site_label
_atom_site_fract_x
_atom_site_fract_y
_atom_site_fract_z
K1 0.217 0.250 0.261
K2 0.783 0.750 0.739
Cu1 0.066 0.250 0.589
Cu2 0.934 0.750 0.411
Ge1 0.332 0.750 0.861
Ge2 0.668 0.250 0.139
S1 0.139 0.250 0.866
S2 0.222 0.750 0.566
S3 0.468 0.750 0.148
S4 0.532 0.250 0.852
S5 0.778 0.250 0.434
S6 0.861 0.750 0.134



no.,calculated volume (Å³ per cell)
1,191
2,278
3,118
4,311
5,401
6,322
7,304
8,263